This record from Alexandria describes a geometry-optimized LiHoHfRh structure. The functional is PBE.

Cell and atoms, written as POSCAR:
```
LiHoHfRh
1.0
-2.371 3.846 -1.509
-4.763 -0.007 -0.053
-2.420 2.677 3.108
Hf Rh Li Ho
1 1 1 1
direct
0.750 0.750 0.750 Hf
0.000 0.000 0.000 Rh
0.500 0.500 0.500 Li
0.250 0.250 0.250 Ho
```

ΔH_f (0 K)	-0.374	eV/atom